Entry from Alexandria: a geometry-optimized Fe2Ni2Pt5 structure (PBE-GGA).

Results
ΔE_f ... 0.07 eV/atom
Space-group type ... C2/m (12)

a = 9.028 Å, b = 9.028 Å, c = 6.240 Å
α = 108.29°, β = 108.29°, γ = 17.12°
Sites, in units of the cell vectors:
Fe 0.047 0.047 0.378
Fe 0.953 0.953 0.622
Ni 0.355 0.355 0.783
Ni 0.645 0.645 0.217
Pt 0.202 0.202 0.595
Pt 0.401 0.401 0.237
Pt 0.500 0.500 0.000
Pt 0.599 0.599 0.763
Pt 0.798 0.798 0.405


Entry from Alexandria: a geometry-optimized ZnP2O structure (PBE-GGA).

Results
Space-group type ... I-42d (122)
Polymorph energy (0 for the lowest one) ... 0 meV/atom

a = 7.224 Å, b = 7.224 Å, c = 7.224 Å
α = 144.41°, β = 144.41°, γ = 51.21°
Sites, in units of the cell vectors:
Zn 0.000 0.000 0.000
Zn 0.750 0.250 0.500
P 0.260 0.625 0.135
P 0.375 0.510 0.635
P 0.490 0.125 0.865
P 0.875 0.740 0.365
O 0.250 0.750 0.500
O 0.500 0.500 0.000


Entry from Alexandria: a geometry-optimized Mn2CdPt structure (PBE-GGA).

Results
ΔE_f ... -0.04 eV/atom
Space-group type ... Pmmm (47)

a = 3.002 Å, b = 3.364 Å, c = 6.544 Å
α = 90.00°, β = 90.00°, γ = 90.00°
Sites, in units of the cell vectors:
Mn 0.000 0.000 0.228
Mn 0.000 0.000 0.772
Cd 0.500 0.500 0.500
Pt 0.500 0.500 0.000


Entry from Alexandria: a geometry-optimized KCuOF2 structure (PBE-GGA).

Results
Space-group type ... P4/mmm (123)
Polymorph energy (0 for the lowest one) ... 1400 meV/atom

a = 4.711 Å, b = 4.711 Å, c = 4.791 Å
α = 90.00°, β = 90.00°, γ = 90.00°
Sites, in units of the cell vectors:
K 0.000 0.000 0.000
Cu 0.500 0.500 0.500
O 0.000 0.000 0.500
F 0.000 0.500 0.000
F 0.500 0.000 0.000


Entry from Alexandria: a geometry-optimized La4MgSc structure (PBE-GGA).

Results
ΔE_f ... 0.00 eV/atom
Space-group type ... P4/mmm (123)
Polymorph energy (0 for the lowest one) ... 0 meV/atom

a = 3.718 Å, b = 3.718 Å, c = 14.205 Å
α = 90.00°, β = 90.00°, γ = 90.00°
Sites, in units of the cell vectors:
La 0.000 0.000 0.160
La 0.000 0.000 0.840
La 0.500 0.500 0.340
La 0.500 0.500 0.660
Mg 0.000 0.000 0.500
Sc 0.500 0.500 0.000


Entry from Alexandria: a geometry-optimized TbHoIn structure (PBE-GGA).

Results
ΔE_f ... 0.21 eV/atom
Space-group type ... Cmmm (65)
Polymorph energy (0 for the lowest one) ... 524 meV/atom

a = 6.644 Å, b = 6.644 Å, c = 5.043 Å
α = 90.00°, β = 90.00°, γ = 90.76°
Sites, in units of the cell vectors:
Tb 0.184 0.816 0.000
Tb 0.816 0.184 0.000
Ho 0.317 0.317 0.500
Ho 0.683 0.683 0.500
In 0.000 0.000 0.500
In 0.500 0.500 0.000


Entry from Alexandria: a geometry-optimized TlSeCl2 structure (PBE-GGA).

Results
Space-group type ... Pmmm (47)
Polymorph energy (0 for the lowest one) ... 235 meV/atom

a = 3.757 Å, b = 4.311 Å, c = 6.742 Å
α = 90.00°, β = 90.00°, γ = 90.00°
Sites, in units of the cell vectors:
Tl 0.000 0.000 0.000
Se 0.500 0.000 0.500
Cl 0.000 0.500 0.500
Cl 0.500 0.500 0.000


Entry from Alexandria: a geometry-optimized Ca2YZn3 structure (PBE-GGA).

Results
ΔE_f ... -0.28 eV/atom
Space-group type ... P4/mmm (123)
Polymorph energy (0 for the lowest one) ... 3 meV/atom

a = 3.644 Å, b = 3.644 Å, c = 10.928 Å
α = 90.00°, β = 90.00°, γ = 90.00°
Sites, in units of the cell vectors:
Ca 0.000 0.000 0.169
Ca 0.000 0.000 0.831
Y 0.000 0.000 0.500
Zn 0.500 0.500 0.000
Zn 0.500 0.500 0.346
Zn 0.500 0.500 0.654